Record 1
Material: PrCl4
Method: DFT, GGA-PBE
State: relaxed

Structure (extended XYZ):
```
5
Lattice="5.5369 0.0000 0.0000 0.0000 5.5369 0.0000 0.0000 0.0000 5.5369" Properties=species:S:1:pos:R:3 pbc="T T T"
Pr 0.0000 0.0000 0.0000
Cl 0.0000 0.0000 2.7684
Cl 0.0000 2.7684 0.0000
Cl 2.7684 0.0000 0.0000
Cl 2.7684 2.7684 2.7684
```

Properties
SG: Pm-3m, No. 221
Formation energy (no corrections) in kJ per mole of atoms: -144.0

Record 2
Material: La9TbPb2
Method: DFT, GGA-PBE
State: relaxed

Structure (extended XYZ):
```
12
Lattice="5.0968 0.0000 0.0000 0.0000 5.0968 0.0000 0.0000 0.0000 15.5831" Properties=species:S:1:pos:R:3 pbc="T T T"
La 0.0000 0.0000 0.0000
La 0.0000 0.0000 5.2500
La 0.0000 0.0000 10.3330
La 0.0000 2.5484 2.6737
La 0.0000 2.5484 7.7915
La 0.0000 2.5484 12.9094
La 2.5484 0.0000 2.6737
La 2.5484 0.0000 7.7915
La 2.5484 0.0000 12.9094
Tb 2.5484 2.5484 0.0000
Pb 2.5484 2.5484 5.2487
Pb 2.5484 2.5484 10.3343
```

Properties
SG: P4/mmm, No. 123
Formation energy from the elements in eV per formula unit: -2.854

Record 3
Material: Cu3Ag
Method: DFT, GGA-PBE
State: relaxed

Structure (extended XYZ):
```
8
Lattice="4.8012 0.0000 0.0000 0.0000 4.8012 0.0000 0.0000 0.0000 4.8012" Properties=species:S:1:pos:R:3 pbc="T T T"
Cu 0.0000 1.2003 2.4006
Cu 0.0000 3.6009 2.4006
Cu 1.2003 2.4006 0.0000
Cu 2.4006 0.0000 1.2003
Cu 2.4006 0.0000 3.6009
Cu 3.6009 2.4006 0.0000
Ag 0.0000 0.0000 0.0000
Ag 2.4006 2.4006 2.4006
```

Properties
SG: Pm-3n, No. 223
Formation energy from the elements in eV per formula unit: 0.693

Record 4
Material: Co4Ni2Pt3
Method: DFT, GGA-PBE
State: relaxed

Structure (extended XYZ):
```
9
Lattice="4.0879 0.0000 0.0000 2.0360 4.4435 0.0000 0.0034 1.7184 6.3500" Properties=species:S:1:pos:R:3 pbc="T T T"
Co 1.0147 1.2901 0.6803
Co 3.0595 4.7946 2.9115
Co 3.0678 1.3673 3.4385
Co 5.1125 4.8718 5.6697
Ni 1.0321 1.4763 5.1274
Ni 5.0951 4.6856 1.2226
Pt 1.0197 3.0810 3.1750
Pt 3.0577 2.9639 1.1468
Pt 3.0696 3.1980 5.2032
```

Properties
SG: P-1, No. 2
Formation energy from the elements in eV per formula unit: 0.136

Record order is preserved below.
Raw total energy: -3.926 -4.937 -3.612 -6.441 eV per atom